Record 1
# CaHf3Zr2N6

A relaxed structure of CaHf3Zr2N6 (PBE, Alexandria via LeMat-Bulk).

The formation energy from raw total energies is -20.30 eV per formula unit. The volume is 294.8 Å³/cell. The value obtained for the mass density is 9.49 g/cm3. As for the magnetization: 0.000 μB/atom.

a b c (Å): 14.278 3.240 6.561
angles (deg): 90.00 103.84 90.00
Space group C2/m (No. 12)
Symmetry-distinct sites (fractional):
Ca 0.000 0.000 0.000
Hf 0.000 0.000 0.500
Hf 0.166 0.500 0.831
Zr 0.170 0.500 0.341
N 0.002 0.500 0.732
N 0.162 0.000 0.593
N 0.173 0.000 0.076



Record 2
# CaHf2ZrN4

A relaxed structure of CaHf2ZrN4 (PBE, Alexandria via LeMat-Bulk).

The formation energy from raw total energies is -13.30 eV per formula unit. The volume is 396.6 Å³/cell. The value obtained for the mass density is 9.12 g/cm3. As for the magnetization: 0.000 μB/atom.

a b c (Å): 6.514 6.588 9.243
angles (deg): 90.00 90.00 90.00
Space group Imma (No. 74)
Symmetry-distinct sites (fractional):
Ca 0.250 0.250 0.250
Hf 0.000 0.000 0.000
Hf 0.250 0.250 0.750
Zr 0.000 0.000 0.500
N 0.000 0.020 0.753
N 0.242 0.250 0.992



Record 3
# Na2CaHf

A relaxed structure of Na2CaHf (PBE, Alexandria via LeMat-Bulk).

The value obtained for the formation energy is 0.782 eV/atom. The volume is 487.7 Å³/cell. The value obtained for the mass density is 3.60 g/cm3. Its energy above the most stable polymorph in this dataset is 0.00 eV per formula unit. As for the magnetization: 0.408 μB/atom.

a b c (Å): 7.871 7.871 7.871
angles (deg): 90.00 90.00 90.00
Space group Fm-3m (No. 225)
Symmetry-distinct sites (fractional):
Na 0.250 0.250 0.250
Ca 0.000 0.000 0.000
Hf 0.000 0.000 0.500



Record 4
# NaCa2Hf

A relaxed structure of NaCa2Hf (PBE, Alexandria via LeMat-Bulk).

The value obtained for the formation energy is 0.607 eV/atom. The volume is 517.9 Å³/cell. The value obtained for the mass density is 3.61 g/cm3. Its energy above the most stable polymorph in this dataset is 0.25 eV per formula unit. As for the magnetization: 0.000 μB/atom.

a b c (Å): 8.031 8.031 8.031
angles (deg): 90.00 90.00 90.00
Space group Fm-3m (No. 225)
Symmetry-distinct sites (fractional):
Na 0.000 0.000 0.000
Ca 0.250 0.250 0.250
Hf 0.000 0.000 0.500